## Tb5AsSe5 (PBE)

Data for an optimized crystal structure of Tb5AsSe5.

abc: 5.7986 8.1806 7.0950
angles: 106.79 114.12 90.00
With the nearest neighbours (Å) after each atom.
Sites, in units of the cell vectors:
1 Tb 0.1606 0.8291 0.3212  5 Se 2.83-2.94, 1 As 2.85
2 Tb 0.1630 0.3323 0.3260  5 Se 2.86-2.91, 1 As 2.87
3 Tb 0.5000 0.0000 0.0000  2 As 2.90, 4 Se 2.90-2.91
4 Tb 0.8370 0.6677 0.6740  5 Se 2.86-2.91, 1 As 2.87
5 Tb 0.8394 0.1709 0.6788  5 Se 2.83-2.94, 1 As 2.85
6 As 0.0000 0.0000 0.0000  6 Tb 2.85-2.90
7 Se 0.3326 0.6656 0.6653  5 Tb 2.90-2.94
8 Se 0.3313 0.1655 0.6625  5 Tb 2.90-2.93
9 Se 0.0000 0.5000 0.0000  4 Tb 2.83-2.86
10 Se 0.6687 0.8345 0.3375  5 Tb 2.90-2.93
11 Se 0.6674 0.3344 0.3347  5 Tb 2.90-2.94

Computed properties:
- uncorrected formation energy (kcal/mol of atoms) = -42.36
- calculated volume (Å³ per atom) = 26.491